(1)
A plane-wave DFT calculation with PBE was carried out for an optimized crystal structure of BaMgAg.

Properties
The density of states at the Fermi level comes out at 1.0298 states/eV per atom. Its theoretical density is 4468 kg/m³. The value obtained for the formation enthalpy at 0 K is -0.172 eV/atom. The calculation puts the uncorrected energy at -2.2951 eV/atom.

Unit cell a=4.9746 b=4.9746 c=4.6731 alpha=90.00 beta=90.00 gamma=120.00
Space group P-6m2 (No. 187)
Asymmetric unit:
Ba  0.0000  0.0000  0.0000 (multiplicity 1)
Mg  0.6667  0.3333  0.5000 (multiplicity 1)
Ag  0.3333  0.6667  0.5000 (multiplicity 1)

---

(2)
A plane-wave DFT calculation with PBE was carried out for an optimized crystal structure of K3Tl.

Properties
The density of states at the Fermi level comes out at 0.9730 states/eV per atom. Its theoretical density is 2499 kg/m³. The value obtained for the formation enthalpy at 0 K is -0.019 eV/atom. The calculation puts the uncorrected energy at -1.4334 eV/atom.

Unit cell a=9.7855 b=11.5524 c=7.5630 alpha=90.00 beta=90.00 gamma=90.00
Space group Pnma (No. 62)
Asymmetric unit:
K  0.0272  0.2500  0.1055 (multiplicity 4)
K  0.1785  0.0542  0.6302 (multiplicity 8)
Tl  0.1159  0.7500  0.4182 (multiplicity 4)